Density functional theory data (PBE-GGA) for crystalline Pm7Ho16Th6 at its relaxed geometry.

Calculated values
formation enthalpy at 0 K: 9.44 eV/f.u.
crystal system: cubic

a b c (Å): 11.094 11.094 11.094
angles (deg): 60.00 60.00 60.00
Element x y z (fractional)
Pm 0.000 0.000 0.000
Pm 0.000 0.000 0.500
Pm 0.000 0.500 0.000
Pm 0.000 0.500 0.500
Pm 0.500 0.000 0.000
Pm 0.500 0.000 0.500
Pm 0.500 0.500 0.000
Ho 0.025 0.658 0.658
Ho 0.121 0.121 0.121
Ho 0.121 0.121 0.636
Ho 0.121 0.636 0.121
Ho 0.342 0.342 0.342
Ho 0.342 0.342 0.975
Ho 0.342 0.975 0.342
Ho 0.364 0.879 0.879
Ho 0.636 0.121 0.121
Ho 0.658 0.025 0.658
Ho 0.658 0.658 0.025
Ho 0.658 0.658 0.658
Ho 0.879 0.364 0.879
Ho 0.879 0.879 0.364
Ho 0.879 0.879 0.879
Ho 0.975 0.342 0.342
Th 0.331 0.331 0.669
Th 0.331 0.669 0.331
Th 0.331 0.669 0.669
Th 0.669 0.331 0.331
Th 0.669 0.331 0.669
Th 0.669 0.669 0.331


Density functional theory data (PBE-GGA) for crystalline Pm5Ho2Th at its relaxed geometry.

Calculated values
formation enthalpy at 0 K: 0.21 eV/f.u.
crystal system: orthorhombic

a b c (Å): 7.213 14.434 5.107
angles (deg): 90.00 90.00 90.00
Element x y z (fractional)
Pm 0.000 0.000 0.000
Pm 0.006 0.251 0.000
Pm 0.248 0.377 0.500
Pm 0.252 0.877 0.500
Pm 0.494 0.751 0.000
Pm 0.500 0.500 0.000
Pm 0.506 0.249 0.000
Pm 0.748 0.123 0.500
Pm 0.752 0.623 0.500
Pm 0.994 0.749 0.000
Ho 0.241 0.622 0.500
Ho 0.259 0.122 0.500
Ho 0.741 0.878 0.500
Ho 0.759 0.378 0.500
Th 0.000 0.500 0.000
Th 0.500 0.000 0.000


Density functional theory data (PBE-GGA) for crystalline Pm2Ho7Th2 at its relaxed geometry.

Calculated values
E above lowest polymorph: 0.000 eV per atom
formation enthalpy at 0 K: 1.73 eV/f.u.
crystal system: monoclinic

a b c (Å): 10.507 10.507 3.597
angles (deg): 99.84 99.84 67.30
Element x y z (fractional)
Pm 0.116 0.116 0.118
Pm 0.884 0.884 0.882
Ho 0.083 0.582 0.332
Ho 0.305 0.305 0.804
Ho 0.418 0.917 0.668
Ho 0.500 0.500 0.500
Ho 0.582 0.083 0.332
Ho 0.695 0.695 0.196
Ho 0.917 0.418 0.668
Th 0.237 0.763 0.000
Th 0.763 0.237 0.000


Density functional theory data (PBE-GGA) for crystalline PmHoTh at its relaxed geometry.

Calculated values
E above lowest polymorph: 0.004 eV per atom
formation enthalpy at 0 K: 0.09 eV/f.u.
crystal system: trigonal

a b c (Å): 3.589 3.589 8.770
angles (deg): 90.00 90.00 120.00
Element x y z (fractional)
Pm 0.000 0.000 0.000
Ho 0.667 0.333 0.349
Th 0.333 0.667 0.669


Density functional theory data (PBE-GGA) for crystalline PmHoTh2 at its relaxed geometry.

Calculated values
E above lowest polymorph: 0.146 eV per atom
formation enthalpy at 0 K: 0.70 eV/f.u.
crystal system: cubic

a b c (Å): 8.035 8.035 8.035
angles (deg): 90.00 90.00 90.00
Element x y z (fractional)
Pm 0.000 0.000 0.000
Pm 0.000 0.500 0.500
Pm 0.500 0.000 0.500
Pm 0.500 0.500 0.000
Ho 0.000 0.000 0.500
Ho 0.000 0.500 0.000
Ho 0.500 0.000 0.000
Ho 0.500 0.500 0.500
Th 0.250 0.250 0.250
Th 0.250 0.250 0.750
Th 0.250 0.750 0.250
Th 0.250 0.750 0.750
Th 0.750 0.250 0.250
Th 0.750 0.250 0.750
Th 0.750 0.750 0.250
Th 0.750 0.750 0.750


Density functional theory data (PBE-GGA) for crystalline Pm3Ho3Th at its relaxed geometry.

Calculated values
E above lowest polymorph: 0.000 eV per atom
formation enthalpy at 0 K: 0.25 eV/f.u.
crystal system: hexagonal

a b c (Å): 9.649 9.649 5.741
angles (deg): 90.00 90.00 120.00
Element x y z (fractional)
Pm 0.058 0.811 0.250
Pm 0.189 0.246 0.250
Pm 0.246 0.058 0.750
Pm 0.754 0.942 0.250
Pm 0.811 0.754 0.750
Pm 0.942 0.189 0.750
Ho 0.095 0.613 0.750
Ho 0.387 0.482 0.750
Ho 0.482 0.095 0.250
Ho 0.518 0.905 0.750
Ho 0.613 0.518 0.250
Ho 0.905 0.387 0.250
Th 0.333 0.667 0.250
Th 0.667 0.333 0.750


Density functional theory data (PBE-GGA) for crystalline PmHoTh4 at its relaxed geometry.

Calculated values
formation enthalpy at 0 K: 0.25 eV/f.u.
crystal system: tetragonal

a b c (Å): 3.588 3.588 15.114
angles (deg): 90.00 90.00 90.00
Element x y z (fractional)
Pm 0.000 0.000 0.000
Ho 0.500 0.500 0.500
Th 0.000 0.000 0.334
Th 0.000 0.000 0.666
Th 0.500 0.500 0.172
Th 0.500 0.500 0.828


Density functional theory data (PBE-GGA) for crystalline PmHo2Th4 at its relaxed geometry.

Calculated values
formation enthalpy at 0 K: 2.12 eV/f.u.
crystal system: tetragonal

a b c (Å): 9.343 9.343 5.534
angles (deg): 90.00 90.00 90.00
Element x y z (fractional)
Pm 0.000 0.000 0.000
Pm 0.500 0.500 0.500
Ho 0.185 0.185 0.500
Ho 0.315 0.685 0.000
Ho 0.685 0.315 0.000
Ho 0.815 0.815 0.500
Th 0.121 0.624 0.500
Th 0.124 0.379 0.000
Th 0.376 0.879 0.500
Th 0.379 0.124 0.000
Th 0.621 0.876 0.000
Th 0.624 0.121 0.500
Th 0.876 0.621 0.000
Th 0.879 0.376 0.500


Density functional theory data (PBE-GGA) for crystalline Pm8Ho2Th at its relaxed geometry.

Calculated values
E above lowest polymorph: 0.000 eV per atom
formation enthalpy at 0 K: 1.83 eV/f.u.
crystal system: orthorhombic

a b c (Å): 8.543 8.543 5.433
angles (deg): 90.00 90.00 105.21
Element x y z (fractional)
Pm 0.168 0.168 0.000
Pm 0.203 0.466 0.500
Pm 0.248 0.752 0.000
Pm 0.466 0.203 0.500
Pm 0.534 0.797 0.500
Pm 0.752 0.248 0.000
Pm 0.797 0.534 0.500
Pm 0.832 0.832 0.000
Ho 0.120 0.880 0.500
Ho 0.880 0.120 0.500
Th 0.500 0.500 0.000


Density functional theory data (PBE-GGA) for crystalline Pm12Ho6Th at its relaxed geometry.

Calculated values
formation enthalpy at 0 K: 2.46 eV/f.u.
crystal system: trigonal

a b c (Å): 8.774 8.774 8.774
angles (deg): 98.25 98.25 98.25
Element x y z (fractional)
Pm 0.000 0.263 0.737
Pm 0.000 0.737 0.263
Pm 0.170 0.585 0.585
Pm 0.263 0.000 0.737
Pm 0.263 0.737 0.000
Pm 0.415 0.415 0.830
Pm 0.415 0.830 0.415
Pm 0.585 0.170 0.585
Pm 0.585 0.585 0.170
Pm 0.737 0.000 0.263
Pm 0.737 0.263 0.000
Pm 0.830 0.415 0.415
Ho 0.140 0.140 0.404
Ho 0.140 0.404 0.140
Ho 0.404 0.140 0.140
Ho 0.596 0.860 0.860
Ho 0.860 0.596 0.860
Ho 0.860 0.860 0.596
Th 0.000 0.000 0.000


Density functional theory data (PBE-GGA) for crystalline Pm7HoTh2 at its relaxed geometry.

Calculated values
formation enthalpy at 0 K: 7.23 eV/f.u.
crystal system: orthorhombic

a b c (Å): 9.465 9.465 5.616
angles (deg): 90.00 90.00 124.40
Element x y z (fractional)
Pm 0.000 0.000 0.000
Pm 0.211 0.434 0.000
Pm 0.283 0.717 0.500
Pm 0.434 0.211 0.000
Pm 0.566 0.789 0.000
Pm 0.717 0.283 0.500
Pm 0.789 0.566 0.000
Ho 0.500 0.500 0.500
Th 0.205 0.795 0.000
Th 0.795 0.205 0.000


Density functional theory data (PBE-GGA) for crystalline Pm6Ho12Th at its relaxed geometry.

Calculated values
E above lowest polymorph: 0.074 eV per atom
formation enthalpy at 0 K: 4.23 eV/f.u.
crystal system: trigonal

a b c (Å): 8.718 8.718 8.718
angles (deg): 99.35 99.35 99.35
Element x y z (fractional)
Pm 0.158 0.600 0.600
Pm 0.400 0.400 0.842
Pm 0.400 0.842 0.400
Pm 0.600 0.158 0.600
Pm 0.600 0.600 0.158
Pm 0.842 0.400 0.400
Ho 0.000 0.256 0.744
Ho 0.000 0.744 0.256
Ho 0.151 0.151 0.422
Ho 0.151 0.422 0.151
Ho 0.256 0.000 0.744
Ho 0.256 0.744 0.000
Ho 0.422 0.151 0.151
Ho 0.578 0.849 0.849
Ho 0.744 0.000 0.256
Ho 0.744 0.256 0.000
Ho 0.849 0.578 0.849
Ho 0.849 0.849 0.578
Th 0.500 0.500 0.500


Density functional theory data (PBE-GGA) for crystalline PmHo4Th6 at its relaxed geometry.

Calculated values
formation enthalpy at 0 K: 4.63 eV/f.u.
crystal system: tetragonal

a b c (Å): 10.242 10.242 10.242
angles (deg): 143.99 143.99 51.84
Element x y z (fractional)
Pm 0.000 0.000 0.000
Ho 0.186 0.186 0.627
Ho 0.441 0.814 0.000
Ho 0.559 0.559 0.373
Ho 0.814 0.441 0.000
Th 0.000 0.500 0.500
Th 0.001 0.001 0.618
Th 0.383 0.383 0.382
Th 0.500 0.000 0.500
Th 0.617 0.999 0.000
Th 0.999 0.617 0.000


Density functional theory data (PBE-GGA) for crystalline PmHo3Th2 at its relaxed geometry.

Calculated values
E above lowest polymorph: 0.000 eV per atom
formation enthalpy at 0 K: 0.16 eV/f.u.
crystal system: orthorhombic

a b c (Å): 9.442 9.442 11.558
angles (deg): 90.00 90.00 158.01
Element x y z (fractional)
Pm 0.220 0.780 0.750
Pm 0.780 0.220 0.250
Ho 0.108 0.892 0.250
Ho 0.336 0.664 0.504
Ho 0.336 0.664 0.996
Ho 0.664 0.336 0.004
Ho 0.664 0.336 0.496
Ho 0.892 0.108 0.750
Th 0.000 0.000 0.000
Th 0.000 0.000 0.500
Th 0.446 0.554 0.250
Th 0.554 0.446 0.750


Density functional theory data (PBE-GGA) for crystalline Pm4Ho5Th2 at its relaxed geometry.

Calculated values
E above lowest polymorph: 0.000 eV per atom
formation enthalpy at 0 K: 0.28 eV/f.u.
crystal system: triclinic

a b c (Å): 3.586 9.468 10.733
angles (deg): 86.26 89.98 79.22
Element x y z (fractional)
Pm 0.089 0.322 0.455
Pm 0.361 0.778 0.824
Pm 0.639 0.222 0.176
Pm 0.911 0.678 0.545
Ho 0.000 0.500 0.000
Ho 0.273 0.952 0.362
Ho 0.452 0.594 0.269
Ho 0.548 0.406 0.731
Ho 0.727 0.048 0.638
Th 0.183 0.134 0.906
Th 0.817 0.866 0.094


Density functional theory data (PBE-GGA) for crystalline Pm4Ho4Th at its relaxed geometry.

Calculated values
E above lowest polymorph: 0.000 eV per atom
formation enthalpy at 0 K: 0.24 eV/f.u.
crystal system: tetragonal

a b c (Å): 8.028 8.028 8.028
angles (deg): 95.70 95.70 143.25
Element x y z (fractional)
Pm 0.000 0.329 0.329
Pm 0.000 0.671 0.671
Pm 0.329 0.000 0.329
Pm 0.671 0.000 0.671
Ho 0.336 0.336 0.673
Ho 0.336 0.664 0.000
Ho 0.664 0.336 0.000
Ho 0.664 0.664 0.327
Th 0.000 0.000 0.000


Density functional theory data (PBE-GGA) for crystalline PmHo3Th at its relaxed geometry.

Calculated values
E above lowest polymorph: 0.000 eV per atom
formation enthalpy at 0 K: 0.19 eV/f.u.
crystal system: triclinic

a b c (Å): 6.273 6.765 9.213
angles (deg): 71.46 89.88 62.41
Element x y z (fractional)
Pm 0.135 0.404 0.348
Pm 0.865 0.596 0.652
Ho 0.058 0.202 0.053
Ho 0.271 0.799 0.455
Ho 0.338 0.997 0.758
Ho 0.662 0.003 0.242
Ho 0.729 0.201 0.545
Ho 0.942 0.798 0.947
Th 0.474 0.402 0.848
Th 0.526 0.598 0.152


Density functional theory data (PBE-GGA) for crystalline Pm5Ho2Th2 at its relaxed geometry.

Calculated values
formation enthalpy at 0 K: 2.61 eV/f.u.
crystal system: monoclinic

a b c (Å): 12.005 12.005 8.309
angles (deg): 104.54 104.54 16.76
Element x y z (fractional)
Pm 0.000 0.000 0.000
Pm 0.092 0.092 0.748
Pm 0.301 0.301 0.421
Pm 0.699 0.699 0.579
Pm 0.908 0.908 0.252
Ho 0.152 0.152 0.203
Ho 0.848 0.848 0.797
Th 0.449 0.449 0.623
Th 0.551 0.551 0.377


Density functional theory data (PBE-GGA) for crystalline Pm3Ho4Th at its relaxed geometry.

Calculated values
E above lowest polymorph: 0.000 eV per atom
formation enthalpy at 0 K: 0.18 eV/f.u.
crystal system: monoclinic

a b c (Å): 6.208 3.590 11.776
angles (deg): 90.00 100.32 90.00
Element x y z (fractional)
Pm 0.000 0.000 0.000
Pm 0.000 0.500 0.500
Pm 0.500 0.000 0.500
Ho 0.253 0.500 0.249
Ho 0.257 0.000 0.754
Ho 0.743 0.000 0.246
Ho 0.747 0.500 0.751
Th 0.500 0.500 0.000


Density functional theory data (PBE-GGA) for crystalline Pm2HoTh at its relaxed geometry.

Calculated values
E above lowest polymorph: 0.014 eV per atom
formation enthalpy at 0 K: 0.15 eV/f.u.
crystal system: trigonal

a b c (Å): 3.604 3.604 35.325
angles (deg): 90.00 90.00 120.00
Element x y z (fractional)
Pm 0.000 0.000 0.249
Pm 0.000 0.000 0.751
Pm 0.333 0.667 0.418
Pm 0.333 0.667 0.916
Pm 0.667 0.333 0.084
Pm 0.667 0.333 0.582
Ho 0.000 0.000 0.000
Ho 0.333 0.667 0.667
Ho 0.667 0.333 0.333
Th 0.000 0.000 0.500
Th 0.333 0.667 0.167
Th 0.667 0.333 0.833